Record 1
First-principles (PBE) data for an optimized crystal structure of MgCo3Mo, as listed in Alexandria.

Formation enthalpy at 0 K ... 1.1088 eV/atom
Crystal system ... cubic
DOS at the Fermi energy ... 5.6 states/eV per cell
Relative energy among the computed polymorphs ... 0 meV/atom

a b c (Å): 4.4287 4.4287 4.4287
angles (deg): 90.00 90.00 90.00
Atoms (fractional coordinates):
1 Mg 0.0000 0.0000 0.0000
2 Co 0.0000 0.5000 0.5000
3 Co 0.5000 0.0000 0.5000
4 Co 0.5000 0.5000 0.0000
5 Mo 0.5000 0.5000 0.5000



Record 2
First-principles (PBE) data for an optimized crystal structure of SrTl8Pb2, as listed in Alexandria.

Formation enthalpy at 0 K ... -0.0308 eV/atom
Crystal system ... monoclinic
DOS at the Fermi energy ... 5.8 states/eV per cell

a b c (Å): 9.6789 9.6789 6.1394
angles (deg): 107.17 107.17 125.22
Atoms (fractional coordinates):
1 Sr 0.0000 0.0000 0.0000
2 Tl 0.0962 0.3670 0.7490
3 Tl 0.2056 0.7944 0.0000
4 Tl 0.3670 0.0962 0.7490
5 Tl 0.4803 0.4803 0.7273
6 Tl 0.5197 0.5197 0.2727
7 Tl 0.6330 0.9038 0.2510
8 Tl 0.7944 0.2056 0.0000
9 Tl 0.9038 0.6330 0.2510
10 Pb 0.3235 0.6765 0.5000
11 Pb 0.6765 0.3235 0.5000



Record 3
First-principles (PBE) data for an optimized crystal structure of Pa3TeS2, as listed in Alexandria.

Raw formation energy ... -1.28 eV/atom
Crystal system ... trigonal
DOS at the Fermi energy ... 10.1 states/eV per cell

a b c (Å): 3.9037 3.9037 10.5790
angles (deg): 90.00 90.00 120.00
Atoms (fractional coordinates):
1 Pa 0.0000 0.0000 0.0000
2 Pa 0.3333 0.6667 0.7033
3 Pa 0.6667 0.3333 0.2967
4 Te 0.0000 0.0000 0.5000
5 S 0.3333 0.6667 0.1492
6 S 0.6667 0.3333 0.8508



The calculation returns the following M_tot values, one per record and in order: 0.50 0.00 0.00 μB/f.u..